Density functional theory data (PBE) for crystalline SnPSe3 at its relaxed geometry.

Values from the calculation:
final energy: -4.131 eV/atom

The structure in POSCAR format:
```
SnPSe3
1.0
7.237 0.000 0.000
0.000 7.793 0.000
-6.854 0.000 11.289
Sn P Se
4 4 12
Direct
0.193 0.026 0.181
0.193 0.474 0.681
0.807 0.526 0.319
0.807 0.974 0.819
0.058 0.584 0.080
0.058 0.916 0.580
0.942 0.084 0.420
0.942 0.416 0.920
0.182 0.698 0.512
0.182 0.802 0.012
0.261 0.185 0.451
0.261 0.315 0.951
0.469 0.233 0.156
0.469 0.267 0.656
0.531 0.733 0.344
0.531 0.767 0.844
0.739 0.685 0.049
0.739 0.815 0.549
0.818 0.198 0.988
0.818 0.302 0.488
```